(1)
# LiSi2BO6 (GGA-PBE, optimized geometry)
# **E_form (uncorrected)**: -254.3 kJ/mol of atoms
# **Distance to the lowest polymorph of the same formula**: 0.0055 eV/atom
# **Density**: 2.4 g/cm³
# **Energy**: -7.55 eV/atom
data_LiSi2BO6
_chemical_formula_sum 'Li2 Si4 B2 O12'
_cell_length_a 7.321
_cell_length_b 7.321
_cell_length_c 5.156
_cell_angle_alpha 110.58
_cell_angle_beta 110.58
_cell_angle_gamma 93.30
_space_group_name_H-M_alt 'P 1'
_space_group_IT_number 1
_space_group_name_Hall 'P 1'
loop_
_atom_site_label
_atom_site_type_symbol
_atom_site_fract_x
_atom_site_fract_y
_atom_site_fract_z
Li1 Li 0.249 0.751 0.750
Li2 Li 0.751 0.249 0.250
Si1 Si 0.164 0.339 0.811
Si2 Si 0.339 0.164 0.311
Si3 Si 0.661 0.836 0.689
Si4 Si 0.836 0.661 0.189
B1 B 0.248 0.752 0.250
B2 B 0.752 0.248 0.750
O1 O 0.078 0.734 0.336
O2 O 0.228 0.278 0.525
O3 O 0.231 0.581 0.976
O4 O 0.266 0.922 0.164
O5 O 0.278 0.228 0.025
O6 O 0.419 0.769 0.524
O7 O 0.581 0.231 0.476
O8 O 0.722 0.772 0.975
O9 O 0.734 0.078 0.836
O10 O 0.769 0.419 0.024
O11 O 0.772 0.722 0.475
O12 O 0.922 0.266 0.664



(2)
# CsTm2MnSe4 (GGA-PBE, optimized geometry)
# **E_form (uncorrected)**: -134.3 kJ/mol of atoms
# **Density**: 6.4 g/cm³
# **Energy**: -5.50 eV/atom
data_CsTm2MnSe4
_chemical_formula_sum 'Cs2 Tm4 Mn2 Se8'
_cell_length_a 7.614
_cell_length_b 7.614
_cell_length_c 14.428
_cell_angle_alpha 90.00
_cell_angle_beta 90.00
_cell_angle_gamma 148.36
_space_group_name_H-M_alt 'P 1'
_space_group_IT_number 1
_space_group_name_Hall 'P 1'
loop_
_atom_site_label
_atom_site_type_symbol
_atom_site_fract_x
_atom_site_fract_y
_atom_site_fract_z
Cs1 Cs 0.107 0.893 0.750
Cs2 Cs 0.893 0.107 0.250
Tm1 Tm 0.369 0.631 0.561
Tm2 Tm 0.369 0.631 0.939
Tm3 Tm 0.631 0.369 0.061
Tm4 Tm 0.631 0.369 0.439
Mn1 Mn 0.171 0.829 0.250
Mn2 Mn 0.829 0.171 0.750
Se1 Se 0.000 0.000 0.000
Se2 Se 0.000 0.000 0.500
Se3 Se 0.257 0.743 0.103
Se4 Se 0.257 0.743 0.397
Se5 Se 0.423 0.577 0.750
Se6 Se 0.577 0.423 0.250
Se7 Se 0.743 0.257 0.603
Se8 Se 0.743 0.257 0.897



(3)
# AlCuI2O (GGA-PBE, optimized geometry)
# **E_form (uncorrected)**: 6.9 kJ/mol of atoms
# **Distance to the lowest polymorph of the same formula**: 0.6173 eV/atom
# **Density**: 5.0 g/cm³
# **Energy**: -3.11 eV/atom
data_AlCuI2O
_chemical_formula_sum 'Al1 Cu1 I2 O1'
_cell_length_a 5.705
_cell_length_b 5.705
_cell_length_c 3.668
_cell_angle_alpha 90.00
_cell_angle_beta 90.00
_cell_angle_gamma 90.00
_space_group_name_H-M_alt 'P 1'
_space_group_IT_number 1
_space_group_name_Hall 'P 1'
loop_
_atom_site_label
_atom_site_type_symbol
_atom_site_fract_x
_atom_site_fract_y
_atom_site_fract_z
Al1 Al 0.000 0.000 0.000
Cu1 Cu 0.500 0.500 0.500
I1 I 0.000 0.500 0.500
I2 I 0.500 0.000 0.500
O1 O 0.500 0.500 0.000



(4)
# LaSBrCl2 (GGA-PBE, optimized geometry)
# **E_form (uncorrected)**: -28.5 kJ/mol of atoms
# **Distance to the lowest polymorph of the same formula**: 0.8248 eV/atom
# **Density**: 3.7 g/cm³
# **Energy**: -3.18 eV/atom
data_LaSBrCl2
_chemical_formula_sum 'La1 S1 Br1 Cl2'
_cell_length_a 5.194
_cell_length_b 5.194
_cell_length_c 5.304
_cell_angle_alpha 90.00
_cell_angle_beta 90.00
_cell_angle_gamma 90.00
_space_group_name_H-M_alt 'P 1'
_space_group_IT_number 1
_space_group_name_Hall 'P 1'
loop_
_atom_site_label
_atom_site_type_symbol
_atom_site_fract_x
_atom_site_fract_y
_atom_site_fract_z
La1 La 0.000 0.000 0.000
S1 S 0.500 0.500 0.000
Br1 Br 0.500 0.500 0.500
Cl1 Cl 0.000 0.500 0.500
Cl2 Cl 0.500 0.000 0.500



(5)
# KBaPd2F8 (GGA-PBE, optimized geometry)
# **E_form (uncorrected)**: -206.2 kJ/mol of atoms
# **Density**: 4.6 g/cm³
# **Energy**: -4.50 eV/atom
data_KBaPd2F8
_chemical_formula_sum 'K1 Ba1 Pd2 F8'
_cell_length_a 6.705
_cell_length_b 6.705
_cell_length_c 6.705
_cell_angle_alpha 125.03
_cell_angle_beta 125.03
_cell_angle_gamma 81.48
_space_group_name_H-M_alt 'P 1'
_space_group_IT_number 1
_space_group_name_Hall 'P 1'
loop_
_atom_site_label
_atom_site_type_symbol
_atom_site_fract_x
_atom_site_fract_y
_atom_site_fract_z
K1 K 0.000 0.000 0.000
Ba1 Ba 0.250 0.750 0.500
Pd1 Pd 0.500 0.500 0.000
Pd2 Pd 0.750 0.250 0.500
F1 F 0.044 0.354 0.913
F2 F 0.204 0.412 0.597
F3 F 0.393 0.796 0.208
F4 F 0.441 0.130 0.087
F5 F 0.588 0.185 0.792
F6 F 0.646 0.559 0.689
F7 F 0.815 0.607 0.403
F8 F 0.870 0.956 0.311



(6)
# SrTmAlS4 (GGA-PBE, optimized geometry)
# **E_form (uncorrected)**: -166.3 kJ/mol of atoms
# **Density**: 4.1 g/cm³
# **Energy**: -5.50 eV/atom
data_SrTmAlS4
_chemical_formula_sum 'Sr2 Tm2 Al2 S8'
_cell_length_a 6.488
_cell_length_b 6.672
_cell_length_c 8.013
_cell_angle_alpha 90.00
_cell_angle_beta 106.98
_cell_angle_gamma 90.00
_space_group_name_H-M_alt 'P 1'
_space_group_IT_number 1
_space_group_name_Hall 'P 1'
loop_
_atom_site_label
_atom_site_type_symbol
_atom_site_fract_x
_atom_site_fract_y
_atom_site_fract_z
Sr1 Sr 0.248 0.250 0.060
Sr2 Sr 0.752 0.750 0.940
Tm1 Tm 0.218 0.250 0.552
Tm2 Tm 0.782 0.750 0.448
Al1 Al 0.244 0.750 0.324
Al2 Al 0.756 0.250 0.676
S1 S 0.001 0.002 0.276
S2 S 0.001 0.498 0.276
S3 S 0.446 0.750 0.143
S4 S 0.457 0.750 0.595
S5 S 0.543 0.250 0.405
S6 S 0.554 0.250 0.857
S7 S 0.999 0.502 0.724
S8 S 0.999 0.998 0.724